P.
First-principles (PBE-GGA) data for a geometry-optimized ZrSbC3 structure, as listed in Alexandria via LeMat-Bulk.

Output
Magnetic moment   0.00 μB per formula unit
N(E_F)   3.27 states/eV/f.u.

```
ZrSbC3
1.0
4.359 0.000 0.000
0.000 4.359 0.000
0.000 0.000 4.359
Zr Sb C
1 1 3
Direct
0.000 0.000 0.000
0.500 0.500 0.500
0.000 0.000 0.500
0.000 0.500 0.000
0.500 0.000 0.000
```


Q.
First-principles (PBE-GGA) data for a geometry-optimized ZrSbC3 structure, as listed in Alexandria via LeMat-Bulk.

Output
Magnetic moment   0.00 μB per formula unit
N(E_F)   4.04 states/eV/f.u.

```
ZrSbC3
1.0
4.147 0.000 0.000
0.000 4.147 0.000
0.000 0.000 4.147
Zr Sb C
1 1 3
Direct
0.000 0.000 0.000
0.500 0.500 0.500
0.000 0.500 0.500
0.500 0.000 0.500
0.500 0.500 0.000
```


Least stable = Q


P.
First-principles (PBE-GGA) data for a geometry-optimized Zr4Sb2C structure, as listed in Alexandria via LeMat-Bulk.

Output
Magnetic moment   0.00 μB per formula unit
N(E_F)   5.26 states/eV/f.u.

```
Zr4Sb2C
1.0
-2.225 2.225 7.538
2.225 -2.225 7.538
2.225 2.225 -7.538
Zr Sb C
4 2 1
Direct
0.000 0.500 0.500
0.156 0.156 0.000
0.500 0.000 0.500
0.844 0.844 0.000
0.354 0.354 0.000
0.646 0.646 0.000
0.000 0.000 0.000
```


Q.
First-principles (PBE-GGA) data for a geometry-optimized Zr4Sb2C structure, as listed in Alexandria via LeMat-Bulk.

Output
Magnetic moment   0.00 μB per formula unit
N(E_F)   3.89 states/eV/f.u.

```
Zr4Sb2C
1.0
6.832 0.000 0.000
0.000 6.146 0.000
-2.044 0.000 7.292
Zr Sb C
8 4 2
Direct
0.016 0.001 0.259
0.016 0.499 0.259
0.370 0.250 0.081
0.389 0.250 0.612
0.611 0.750 0.388
0.630 0.750 0.919
0.984 0.501 0.741
0.984 0.999 0.741
0.258 0.750 0.058
0.273 0.750 0.571
0.727 0.250 0.429
0.742 0.250 0.942
0.211 0.250 0.801
0.789 0.750 0.199
```


Least stable = Q